A relaxed structure of ZrNiP2. Source: the Alexandria database, functional PBE.

```
ZrNiP2
1.0
3.447 0.000 0.000
0.000 3.447 0.000
0.000 0.000 5.249
Ni P Zr
1 2 1
direct
0.500 0.500 0.833 Ni
0.000 0.000 0.936 P
0.500 0.500 0.279 P
0.000 0.000 0.452 Zr
```

Results
magnetic moment = 0.000 μB per formula unit
space-group type = P4mm (99)
VASP energy = -27.6 eV for the cell shown